A relaxed Cs2ZnRuO crystal, computed with GGA-PBE.

Structure (POSCAR):
```
Cs2ZnRuO
1.0
6.499 0.000 0.000
0.000 3.773 0.000
0.000 0.000 6.499
O Cs Ru Zn
1 2 1 1
Direct
0.000 0.000 0.000 O
0.500 0.000 0.000 Cs
0.000 0.000 0.500 Cs
0.000 0.500 0.000 Ru
0.500 0.500 0.500 Zn
```

Summary:
Calculated volume (Å³ per cell): 159.4
SG: P4/mmm
Energy relative to the elements, uncorrected (eV per formula unit): -0.60
Total energy (eV per atom): -3.5628